Compound: Er3TmRu2
Source: the Alexandria database
Functional: PBE
Structure: optimized geometry

Values from the calculation:
- Magnetic moment: 0.000 μB/f.u.
- Final energy: -6.51 eV per atom
- Energy relative to the lowest polymorph listed for this composition: 0.0000 eV/atom

a b c (Å): 6.2874 6.7007 6.7007
angles (deg): 90.04 90.00 90.00
With the nearest neighbours (Å) after each atom.
Element x y z (fractional)
Tm  0.2500  0.5676  0.4324  4 Ru 2.91
Er  0.2500  0.0680  0.5684  4 Ru 2.92
Ru  0.5000  0.7492  0.7492  2 Tm 2.91, 6 Er 2.92, 2 Ru 3.14
Tm  0.7500  0.4324  0.5676  4 Ru 2.91
Er  0.2500  0.9314  0.0686  4 Ru 2.92
Er  0.7500  0.9320  0.4316  4 Ru 2.92
Er  0.2500  0.4316  0.9320  4 Ru 2.92
Ru  0.0000  0.7492  0.7492  2 Tm 2.91, 6 Er 2.92, 2 Ru 3.14
Er  0.7500  0.5684  0.0680  4 Ru 2.92
Ru  0.0000  0.2508  0.2508  2 Tm 2.91, 6 Er 2.92, 2 Ru 3.14
Er  0.7500  0.0686  0.9314  4 Ru 2.92
Ru  0.5000  0.2508  0.2508  2 Tm 2.91, 6 Er 2.92, 2 Ru 3.14

Compound: Er2Tm3Ru4
Source: the Alexandria database
Functional: PBE
Structure: optimized geometry

Values from the calculation:
- Magnetic moment: 0.000 μB/f.u.
- Final energy: -7.03 eV per atom

a b c (Å): 4.8072 4.8073 9.1265
angles (deg): 90.00 90.00 60.00
With the nearest neighbours (Å) after each atom.
Element x y z (fractional)
Tm  0.3334  0.3333  0.4093  4 Ru 2.76-2.82
Ru  0.3334  0.3333  0.1064  4 Tm 2.76-2.94, 4 Er 2.84-2.92
Ru  0.0000  0.0001  0.6435  1 Ru 2.62, 3 Tm 2.82
Er  0.6667  0.6666  0.2052  7 Ru 2.84-3.10
Ru  0.6666  0.6667  0.8936  4 Tm 2.76-2.94, 4 Er 2.84-2.92
Er  0.3333  0.3334  0.7948  7 Ru 2.84-3.10
Tm  0.6666  0.6667  0.5907  4 Ru 2.76-2.82
Ru  0.0000  0.9999  0.3565  1 Ru 2.62, 3 Tm 2.82
Tm  0.0000  0.0000  0.0000  8 Ru 2.94-3.25

Compound: Er5Tm2Ru4
Source: the Alexandria database
Functional: PBE
Structure: optimized geometry

Values from the calculation:
- Magnetic moment: 0.000 μB/f.u.
- Final energy: -6.37 eV per atom

a b c (Å): 3.3336 7.4703 13.5188
angles (deg): 125.81 97.08 90.00
With the nearest neighbours (Å) after each atom.
Element x y z (fractional)
Ru  0.0488  0.3701  0.0976  5 Er 2.62-2.80
Tm  0.2218  0.1118  0.4437  3 Ru 2.77-2.89
Er  0.1525  0.4099  0.3050  3 Ru 2.62-2.84
Er  0.8475  0.5901  0.6950  3 Ru 2.62-2.84
Ru  0.6544  0.7215  0.3089  3 Tm 2.77-2.89, 4 Er 2.84-2.98, 2 Ru 2.99
Er  0.0695  0.7617  0.1390  2 Ru 2.64-2.71
Er  0.5000  0.0000  0.0000  4 Ru 2.80
Ru  0.3456  0.2785  0.6911  3 Tm 2.77-2.89, 4 Er 2.84-2.98, 2 Ru 2.99
Tm  0.7782  0.8882  0.5563  3 Ru 2.77-2.89
Er  0.9305  0.2383  0.8610  2 Ru 2.64-2.71
Ru  0.9512  0.6299  0.9024  5 Er 2.62-2.80

Compound: Er2TmRu4
Source: the Alexandria database
Functional: PBE
Structure: optimized geometry

Values from the calculation:
- Magnetic moment: 1.325 μB/f.u.
- Final energy: -7.00 eV per atom

a b c (Å): 5.6669 5.6669 5.6669
angles (deg): 109.23 109.59 109.59
With the nearest neighbours (Å) after each atom.
Element x y z (fractional)
Ru  0.5000  0.5000  0.5000  2 Tm 2.83, 4 Er 2.83
Er  0.5000  0.5000  0.0000  8 Ru 2.83
Ru  0.0000  0.0000  0.5000  4 Er 2.83, 2 Tm 2.83
Er  0.5000  0.0000  0.5000  8 Ru 2.83
Ru  0.0000  0.5000  0.0000  4 Er 2.83, 2 Tm 2.83
Tm  0.0000  0.0000  0.0000  8 Ru 2.83
Ru  0.5000  0.0000  0.0000  2 Tm 2.83, 4 Er 2.83